! NaHoCd (PBE, optimized geometry); values from VASP
&SYSTEM
  ibrav = 0, nat = 3, ntyp = 3
/
ATOMIC_SPECIES
Na 22.99 Na.upf
Cd 112.41 Cd.upf
Ho 164.93 Ho.upf
CELL_PARAMETERS angstrom
3.699 -2.862 1.904
1.659 0.816 4.699
-1.015 -3.338 3.651
ATOMIC_POSITIONS angstrom
Na 3.257 -4.038 7.691
Cd 0.000 0.000 0.000
Ho 1.086 -1.346 2.564
! total DFT energy (no corrections): -6.1 eV per formula unit

! GeAu17 (PBE, optimized geometry); values from VASP
&SYSTEM
  ibrav = 0, nat = 36, ntyp = 2
/
ATOMIC_SPECIES
Au 196.97 Au.upf
Ge 72.64 Ge.upf
CELL_PARAMETERS angstrom
5.030 0.000 0.000
0.000 5.781 0.000
-0.100 0.000 35.308
ATOMIC_POSITIONS angstrom
Au -0.050 0.000 17.654
Au 3.286 2.892 22.559
Au 0.769 4.336 22.589
Au 2.494 1.445 10.286
Au 3.329 2.900 7.745
Au -0.026 5.771 10.270
Au 1.616 2.894 20.108
Au 3.313 2.887 15.199
Au 4.955 2.880 25.037
Au 4.137 4.336 20.110
Au 0.793 1.445 15.198
Au 2.435 4.336 25.022
Au 3.313 0.004 15.199
Au 4.149 4.336 12.748
Au 3.329 5.772 7.745
Au 4.160 1.445 12.719
Au 1.600 2.881 27.562
Au 2.456 1.445 25.047
Au 2.463 1.445 17.660
Au -0.026 2.901 10.270
Au 1.616 5.777 20.108
Au 2.466 4.336 17.648
Au -0.050 2.891 17.654
Au 1.643 0.001 12.748
Au 0.781 1.445 22.560
Au 2.474 4.336 10.261
Au 4.131 1.445 20.113
Au 4.104 4.336 27.538
Au 3.286 5.780 22.559
Au 0.826 1.445 7.769
Au 1.643 2.889 12.748
Au 0.798 4.336 15.195
Au 4.955 0.010 25.037
Au 1.600 0.009 27.562
Ge 4.124 1.445 27.463
Ge 0.806 4.336 7.845
! total DFT energy (no corrections): -59.0 eV per formula unit

! BaFeB4 (PBE, optimized geometry); values from VASP
&SYSTEM
  ibrav = 0, nat = 6, ntyp = 3
/
ATOMIC_SPECIES
Fe 55.84 Fe.upf
B 10.81 B.upf
Ba 137.33 Ba.upf
CELL_PARAMETERS angstrom
-1.450 2.846 4.343
1.450 -2.846 4.343
1.450 2.846 -4.343
ATOMIC_POSITIONS angstrom
Fe 0.000 0.000 4.343
B 1.450 0.849 2.352
B 1.450 -0.849 2.352
B 0.000 1.997 1.991
B 0.000 3.695 1.991
Ba 0.000 0.000 0.000
! total DFT energy (no corrections): -33.2 eV per formula unit

! Cs2PaSe3 (PBE, optimized geometry); values from VASP
&SYSTEM
  ibrav = 0, nat = 12, ntyp = 3
/
ATOMIC_SPECIES
Se 78.96 Se.upf
Pa 231.04 Pa.upf
Cs 132.91 Cs.upf
CELL_PARAMETERS angstrom
6.896 -4.863 0.000
6.896 4.863 0.000
0.000 0.000 7.672
ATOMIC_POSITIONS angstrom
Se 8.812 0.000 3.836
Se 6.896 -3.479 5.754
Se 8.812 0.000 0.000
Se 4.981 0.000 3.836
Se 4.981 0.000 0.000
Se 6.896 3.479 1.918
Pa 6.896 -0.813 5.754
Pa 6.896 0.813 1.918
Cs 9.069 3.325 5.754
Cs 4.724 -3.325 1.918
Cs 9.069 -3.325 1.918
Cs 4.724 3.325 5.754
! total DFT energy (no corrections): -29.6 eV per formula unit

! LuBeGaFe (PBE, optimized geometry); values from VASP
&SYSTEM
  ibrav = 0, nat = 4, ntyp = 4
/
ATOMIC_SPECIES
Lu 174.97 Lu.upf
Ga 69.72 Ga.upf
Fe 55.84 Fe.upf
Be 9.01 Be.upf
CELL_PARAMETERS angstrom
0.000 3.104 3.104
3.104 0.000 3.104
3.104 3.104 0.000
ATOMIC_POSITIONS angstrom
Lu 1.552 1.552 1.552
Ga 0.000 0.000 0.000
Fe 4.655 4.655 4.655
Be 3.104 3.104 3.104
! total DFT energy (no corrections): -19.7 eV per formula unit

! MgPt2Au (PBE, optimized geometry); values from VASP
&SYSTEM
  ibrav = 0, nat = 4, ntyp = 3
/
ATOMIC_SPECIES
Pt 195.08 Pt.upf
Au 196.97 Au.upf
Mg 24.30 Mg.upf
CELL_PARAMETERS angstrom
1.391 0.499 4.278
-2.870 -0.760 3.416
0.539 -3.635 2.643
ATOMIC_POSITIONS angstrom
Pt -0.705 -2.922 7.753
Pt 0.000 0.000 0.000
Au -0.235 -0.974 2.584
Mg -0.470 -1.948 5.168
! total DFT energy (no corrections): -18.4 eV per formula unit

! Tm11Ge10 (PBE, optimized geometry); values from VASP
&SYSTEM
  ibrav = 0, nat = 42, ntyp = 2
/
ATOMIC_SPECIES
Tm 168.93 Tm.upf
Ge 72.64 Ge.upf
CELL_PARAMETERS angstrom
-5.393 5.393 8.062
5.393 -5.393 8.062
5.393 5.393 -8.062
ATOMIC_POSITIONS angstrom
Tm 0.000 2.716 3.056
Tm -2.678 5.393 5.006
Tm 0.000 3.512 9.710
Tm 0.000 3.512 6.413
Tm 1.881 5.393 1.648
Tm 3.481 -3.481 8.062
Tm 1.881 5.393 -1.648
Tm 0.000 0.000 10.656
Tm 3.512 0.000 6.413
Tm 1.912 1.912 0.000
Tm -3.481 3.481 8.062
Tm 3.512 0.000 9.710
Tm 5.393 2.678 5.006
Tm 2.678 5.393 5.006
Tm 5.393 1.881 -1.648
Tm 2.716 0.000 3.056
Tm 5.393 -2.678 5.006
Tm 5.393 1.881 1.648
Tm 8.071 0.000 3.056
Tm 3.481 3.481 8.062
Tm 0.000 0.000 5.468
Tm 0.000 8.071 3.056
Ge 3.142 3.142 -2.910
Ge 3.867 0.000 0.000
Ge 0.000 6.920 0.000
Ge 6.920 0.000 0.000
Ge 2.252 -2.252 10.971
Ge 1.309 1.309 8.062
Ge 0.000 3.867 0.000
Ge 3.142 3.142 2.910
Ge 2.252 2.252 10.971
Ge -2.252 2.252 5.152
Ge 0.000 0.000 1.822
Ge 4.085 4.085 0.000
Ge 0.000 0.000 14.301
Ge 5.393 0.000 4.031
Ge -2.252 2.252 10.971
Ge 2.252 -2.252 5.152
Ge -1.309 1.309 8.062
Ge 0.000 5.393 4.031
Ge 2.252 2.252 5.152
Ge 1.309 -1.309 8.062
! total DFT energy (no corrections): -112.9 eV per formula unit

! GeBW2 (PBE, optimized geometry); values from VASP
&SYSTEM
  ibrav = 0, nat = 8, ntyp = 3
/
ATOMIC_SPECIES
B 10.81 B.upf
Ge 72.64 Ge.upf
W 183.84 W.upf
CELL_PARAMETERS angstrom
-0.196 0.804 3.139
-2.305 -1.843 -1.351
6.234 -9.950 2.940
ATOMIC_POSITIONS angstrom
B 3.117 -4.975 1.470
B 0.000 0.000 0.000
Ge 0.659 -2.566 2.377
Ge 3.073 -8.424 2.351
W -1.007 -1.912 0.427
W 2.813 -6.004 3.393
W 4.739 -9.078 4.301
W 0.919 -4.985 1.335
! total DFT energy (no corrections): -37.5 eV per formula unit

! PmBiBr2O2 (PBE, optimized geometry); values from VASP
&SYSTEM
  ibrav = 0, nat = 6, ntyp = 4
/
ATOMIC_SPECIES
Bi 208.98 Bi.upf
O 16.00 O.upf
Br 79.90 Br.upf
Pm 145.00 Pm.upf
CELL_PARAMETERS angstrom
-2.948 -2.034 -1.687
1.853 0.210 -3.492
3.900 -7.019 1.648
ATOMIC_POSITIONS angstrom
Bi 0.578 -1.039 0.244
O 4.820 -6.900 -0.101
O 2.419 -8.022 0.802
Br 2.585 -4.651 1.092
Br 0.795 -3.328 -2.022
Pm 2.763 -6.869 -1.190
! total DFT energy (no corrections): -34.0 eV per formula unit

! LiLuMg2 (PBE, optimized geometry); values from VASP
&SYSTEM
  ibrav = 0, nat = 4, ntyp = 3
/
ATOMIC_SPECIES
Mg 24.30 Mg.upf
Li 6.94 Li.upf
Lu 174.97 Lu.upf
CELL_PARAMETERS angstrom
4.451 -1.498 1.836
1.450 1.463 4.602
0.176 -3.344 3.770
ATOMIC_POSITIONS angstrom
Mg 4.557 -2.533 7.656
Mg 0.000 0.000 0.000
Li 3.038 -1.689 5.104
Lu 1.519 -0.844 2.552
! total DFT energy (no corrections): -9.4 eV per formula unit

! ZrAs2N (PBE, optimized geometry); values from VASP
&SYSTEM
  ibrav = 0, nat = 8, ntyp = 3
/
ATOMIC_SPECIES
As 74.92 As.upf
N 14.01 N.upf
Zr 91.22 Zr.upf
CELL_PARAMETERS angstrom
-2.403 1.960 0.353
-0.523 -3.018 -0.598
-0.183 -2.821 14.403
ATOMIC_POSITIONS angstrom
As -1.941 -2.245 13.036
As -1.885 -1.385 8.642
As -1.167 -1.634 1.123
As -1.223 -2.494 5.517
N -0.091 -1.410 7.202
N 0.000 0.000 0.000
Zr -1.822 -0.405 3.637
Zr -1.287 -3.474 10.522
! total DFT energy (no corrections): -24.2 eV per formula unit

! Y2AlPt (PBE, optimized geometry); values from VASP
&SYSTEM
  ibrav = 0, nat = 4, ntyp = 3
/
ATOMIC_SPECIES
Al 26.98 Al.upf
Y 88.91 Y.upf
Pt 195.08 Pt.upf
CELL_PARAMETERS angstrom
0.729 -2.354 4.240
-3.830 -1.297 2.775
-1.232 -4.728 0.423
ATOMIC_POSITIONS angstrom
Al -2.166 -4.190 3.719
Y -3.250 -6.285 5.579
Y 0.000 0.000 0.000
Pt -1.083 -2.095 1.860
! total DFT energy (no corrections): -24.6 eV per formula unit

! Zr4Ta2Zn3C3 (PBE, optimized geometry); values from VASP
&SYSTEM
  ibrav = 0, nat = 24, ntyp = 4
/
ATOMIC_SPECIES
Zr 91.22 Zr.upf
Ta 180.95 Ta.upf
C 12.01 C.upf
Zn 65.41 Zn.upf
CELL_PARAMETERS angstrom
-1.057 3.039 -4.665
-3.892 -3.622 1.963
-2.548 11.448 8.140
ATOMIC_POSITIONS angstrom
Zr -4.367 5.377 -0.021
Zr -5.072 6.333 3.007
Zr -6.827 9.379 5.446
Zr -0.669 1.486 -0.009
Zr -4.786 8.546 7.949
Zr -3.128 5.488 5.458
Zr -2.710 2.319 -2.512
Zr -2.424 4.532 2.430
Ta -3.924 10.999 5.840
Ta -5.451 3.363 2.284
Ta -3.572 -0.134 -0.403
Ta -2.045 7.502 3.153
C -1.274 5.724 4.070
C -4.254 4.307 3.822
C -3.242 6.558 1.615
C -0.528 1.520 -2.332
C -1.495 -0.691 -0.151
C -3.453 0.108 -2.551
Zn -4.206 0.804 2.229
Zn -3.424 2.589 0.413
Zn -3.290 10.061 3.208
Zn -4.072 8.276 5.024
Zn -1.942 5.081 -1.744
Zn -5.554 5.784 7.181
! total DFT energy (no corrections): -95.6 eV per formula unit

! BeGaFeSb (PBE, optimized geometry); values from VASP
&SYSTEM
  ibrav = 0, nat = 4, ntyp = 4
/
ATOMIC_SPECIES
Sb 121.76 Sb.upf
Fe 55.84 Fe.upf
Be 9.01 Be.upf
Ga 69.72 Ga.upf
CELL_PARAMETERS angstrom
1.291 -3.246 -2.583
-2.944 -2.400 -2.110
-0.409 0.359 -4.311
ATOMIC_POSITIONS angstrom
Sb -1.031 -2.643 -4.502
Fe -0.516 -1.322 -2.251
Be -1.547 -3.965 -6.753
Ga 0.000 0.000 0.000
! total DFT energy (no corrections): -17.3 eV per formula unit

! Dy2Ho2CI3Br2 (PBE, optimized geometry); values from VASP
&SYSTEM
  ibrav = 0, nat = 10, ntyp = 5
/
ATOMIC_SPECIES
Br 79.90 Br.upf
I 126.90 I.upf
Dy 162.50 Dy.upf
Ho 164.93 Ho.upf
C 12.01 C.upf
CELL_PARAMETERS angstrom
-9.143 -1.778 0.458
-7.594 -5.059 1.923
1.463 3.998 7.408
ATOMIC_POSITIONS angstrom
Br -1.575 2.215 6.627
Br -13.699 -5.054 3.163
I -7.637 -1.419 4.895
I -2.336 0.200 2.916
I -12.938 -3.038 6.873
Dy 1.160 3.229 6.006
Dy -16.434 -6.068 3.783
Ho -4.756 1.244 7.813
Ho -10.518 -4.082 1.976
C -8.368 -3.418 1.191
! total DFT energy (no corrections): -47.8 eV per formula unit

! SmScPd (PBE, optimized geometry); values from VASP
&SYSTEM
  ibrav = 0, nat = 3, ntyp = 3
/
ATOMIC_SPECIES
Sc 44.96 Sc.upf
Pd 106.42 Pd.upf
Sm 150.36 Sm.upf
CELL_PARAMETERS angstrom
-1.723 -0.583 4.346
-3.548 2.707 1.509
-4.287 -1.857 0.605
ATOMIC_POSITIONS angstrom
Sc -7.169 0.200 4.845
Pd -2.390 0.067 1.615
Sm 0.000 0.000 0.000
! ΔH_f (0 K): 0.708 eV per formula unit

! TbErTeC (PBE, optimized geometry); values from VASP
&SYSTEM
  ibrav = 0, nat = 8, ntyp = 4
/
ATOMIC_SPECIES
Tb 158.93 Tb.upf
Er 167.26 Er.upf
C 12.01 C.upf
Te 127.60 Te.upf
CELL_PARAMETERS angstrom
3.817 0.000 0.000
-1.908 3.306 0.000
0.000 0.000 14.013
ATOMIC_POSITIONS angstrom
Tb 1.908 1.102 9.224
Tb 1.908 1.102 4.788
Er 0.000 2.204 2.176
Er 0.000 2.204 11.837
C 0.000 0.000 10.549
C 0.000 0.000 3.464
Te 0.000 2.204 7.006
Te 1.908 1.102 0.000
! total DFT energy (no corrections): -25.0 eV per formula unit

! HoScBe2Ge2 (PBE, optimized geometry); values from VASP
&SYSTEM
  ibrav = 0, nat = 6, ntyp = 4
/
ATOMIC_SPECIES
Ge 72.64 Ge.upf
Ho 164.93 Ho.upf
Sc 44.96 Sc.upf
Be 9.01 Be.upf
CELL_PARAMETERS angstrom
-1.226 -1.085 3.501
2.959 -1.843 -1.668
4.936 4.967 3.269
ATOMIC_POSITIONS angstrom
Ge 3.933 2.450 4.270
Ge 2.736 -0.411 0.831
Ho 2.468 2.483 1.634
Sc 0.000 0.000 0.000
Be 1.345 -0.154 2.557
Be 5.324 2.192 2.545
! total DFT energy (no corrections): -31.4 eV per formula unit

! Li2TlHg (PBE, optimized geometry); values from VASP
&SYSTEM
  ibrav = 0, nat = 4, ntyp = 3
/
ATOMIC_SPECIES
Tl 204.38 Tl.upf
Li 6.94 Li.upf
Hg 200.59 Hg.upf
CELL_PARAMETERS angstrom
-2.864 -0.403 1.754
1.798 -0.468 2.827
-0.188 6.632 1.217
ATOMIC_POSITIONS angstrom
Tl -0.094 3.316 0.609
Li -0.577 1.115 2.575
Li -0.677 4.646 3.223
Hg 0.000 0.000 0.000
! total DFT energy (no corrections): -7.7 eV per formula unit

! Zn2I (PBE, optimized geometry); values from VASP
&SYSTEM
  ibrav = 0, nat = 3, ntyp = 2
/
ATOMIC_SPECIES
Zn 65.41 Zn.upf
I 126.90 I.upf
CELL_PARAMETERS angstrom
-3.191 -5.390 0.734
-5.559 -1.486 2.582
3.270 3.796 -3.830
ATOMIC_POSITIONS angstrom
Zn -6.085 -4.782 2.306
Zn -2.664 -2.094 1.010
I 0.000 0.000 0.000
! total DFT energy (no corrections): -3.4 eV per formula unit

! LiAgP2Pb2 (PBE, optimized geometry); values from VASP
&SYSTEM
  ibrav = 0, nat = 6, ntyp = 4
/
ATOMIC_SPECIES
Ag 107.87 Ag.upf
P 30.97 P.upf
Pb 207.20 Pb.upf
Li 6.94 Li.upf
CELL_PARAMETERS angstrom
-3.272 -2.201 1.812
4.095 -1.292 0.629
0.475 4.704 6.571
ATOMIC_POSITIONS angstrom
Ag 0.238 2.352 3.286
P 0.000 0.000 0.000
P -0.579 0.455 4.703
Pb 1.755 -0.452 2.619
Pb 1.999 1.967 5.998
Li -0.816 -1.898 1.418
! total DFT energy (no corrections): -23.3 eV per formula unit

! Na2PtCl6 (PBE, optimized geometry); values from VASP
&SYSTEM
  ibrav = 0, nat = 9, ntyp = 3
/
ATOMIC_SPECIES
Cl 35.45 Cl.upf
Na 22.99 Na.upf
Pt 195.08 Pt.upf
CELL_PARAMETERS angstrom
-3.370 3.370 4.844
3.370 -3.370 4.844
3.370 3.370 -4.844
ATOMIC_POSITIONS angstrom
Cl 0.000 0.000 7.346
Cl 1.110 2.064 0.000
Cl 4.676 1.110 0.000
Cl 0.000 0.000 2.342
Cl 2.260 1.306 4.844
Cl -1.306 2.260 4.844
Na 0.000 3.370 2.422
Na 3.370 0.000 2.422
Pt 0.000 0.000 0.000
! total DFT energy (no corrections): -29.2 eV per formula unit